AgAu2I6: optimized geometry, PBE.

Results
raw total energy = -38.1 eV per cell
formation energy from raw total energies = -0.04 eV per atom
SG = C2/c (15)
offset from the most stable computed form = 0.0000 eV/atom

Unit cell a=7.5088 b=11.7479 c=11.7479 alpha=71.38 beta=59.85 gamma=59.85
Last column: nearest neighbours and their distance in Å.
Atoms (fractional coordinates):
Ag (0.2500, 0.1717, 0.8283)  4 I 2.83-2.87
Ag (0.7500, 0.8283, 0.1717)  4 I 2.83-2.87
Au (0.1246, 0.6643, 0.8312)  4 I 2.74-2.77
Au (0.3754, 0.1688, 0.3357)  4 I 2.74-2.77
Au (0.8754, 0.3357, 0.1688)  4 I 2.74-2.77
Au (0.6246, 0.8312, 0.6643)  4 I 2.74-2.77
I (0.5433, 0.6414, 0.6306)  2 Au 2.76-2.77
I (0.9567, 0.3694, 0.3586)  2 Au 2.76-2.77
I (0.4567, 0.3586, 0.3694)  2 Au 2.76-2.77
I (0.0433, 0.6306, 0.6414)  2 Au 2.76-2.77
I (0.8004, 0.9747, 0.2992)  1 Au 2.74, 1 Ag 2.87
I (0.6996, 0.7008, 0.0253)  1 Au 2.74, 1 Ag 2.87
I (0.1996, 0.0253, 0.7008)  1 Au 2.74, 1 Ag 2.87
I (0.3004, 0.2992, 0.9747)  1 Au 2.74, 1 Ag 2.87
I (0.2181, 0.6975, 0.0129)  1 Au 2.74, 1 Ag 2.83
I (0.2819, 0.9871, 0.3025)  1 Au 2.74, 1 Ag 2.83
I (0.7819, 0.3025, 0.9871)  1 Au 2.74, 1 Ag 2.83
I (0.7181, 0.0129, 0.6975)  1 Au 2.74, 1 Ag 2.83

---

Bi3MoPd12: optimized geometry, PBE.

Results
raw total energy = -87.3 eV per cell
SG = P4/mmm (123)

Unit cell a=4.0739 b=4.0739 c=16.5540 alpha=90.00 beta=90.00 gamma=90.00
Last column: nearest neighbours and their distance in Å.
Atoms (fractional coordinates):
Bi (0.0000, 0.0000, 0.2454)  12 Pd 2.88-3.01
Bi (0.0000, 0.0000, 0.5000)  12 Pd 2.88-2.94
Bi (0.0000, 0.0000, 0.7546)  12 Pd 2.88-3.01
Mo (0.0000, 0.0000, 0.0000)  12 Pd 2.75-2.88
Pd (0.5000, 0.5000, 0.0000)  8 Pd 2.75, 4 Mo 2.88
Pd (0.5000, 0.5000, 0.2426)  4 Bi 2.88, 8 Pd 2.96-2.97
Pd (0.5000, 0.5000, 0.5000)  4 Bi 2.88, 8 Pd 2.94
Pd (0.5000, 0.5000, 0.7574)  4 Bi 2.88, 8 Pd 2.96-2.97
Pd (0.5000, 0.0000, 0.1117)  2 Mo 2.75, 8 Pd 2.75-2.97, 2 Bi 3.01
Pd (0.5000, 0.0000, 0.3723)  8 Pd 2.88-2.96, 4 Bi 2.93-2.94
Pd (0.5000, 0.0000, 0.6277)  8 Pd 2.88-2.96, 4 Bi 2.93-2.94
Pd (0.5000, 0.0000, 0.8883)  2 Mo 2.75, 8 Pd 2.75-2.97, 2 Bi 3.01
Pd (0.0000, 0.5000, 0.1117)  2 Mo 2.75, 8 Pd 2.75-2.97, 2 Bi 3.01
Pd (0.0000, 0.5000, 0.3723)  8 Pd 2.88-2.96, 4 Bi 2.93-2.94
Pd (0.0000, 0.5000, 0.6277)  8 Pd 2.88-2.96, 4 Bi 2.93-2.94
Pd (0.0000, 0.5000, 0.8883)  2 Mo 2.75, 8 Pd 2.75-2.97, 2 Bi 3.01

---

Li2HgSbS4: optimized geometry, PBE.

Results
raw total energy = -57.9 eV per cell
formation energy from raw total energies = -0.52 eV per atom
SG = C2/c (15)

Unit cell a=7.7922 b=7.7922 c=7.7173 alpha=120.89 beta=120.89 gamma=90.76
Last column: nearest neighbours and their distance in Å.
Atoms (fractional coordinates):
Li (0.5000, 0.0000, 0.0000)  6 S 2.57-2.79
Li (0.5000, 0.0000, 0.5000)  6 S 2.57-2.79
Li (0.0000, 0.0000, 0.5000)  6 S 2.62-2.88
Li (0.5000, 0.5000, 0.0000)  6 S 2.62-2.88
Hg (0.0000, 0.5000, 0.0000)  2 S 2.50
Hg (0.0000, 0.5000, 0.5000)  2 S 2.50
Sb (0.5000, 0.5000, 0.5000)  6 S 2.66-2.70
Sb (0.0000, 0.0000, 0.0000)  6 S 2.66-2.70
S (0.2435, 0.7616, 0.9737)  1 Hg 2.50, 2 Li 2.57-2.79, 1 Sb 2.68
S (0.7384, 0.2565, 0.5263)  1 Hg 2.50, 2 Li 2.57-2.79, 1 Sb 2.68
S (0.2616, 0.7435, 0.4737)  1 Hg 2.50, 2 Li 2.57-2.79, 1 Sb 2.68
S (0.7566, 0.2384, 0.0263)  1 Hg 2.50, 2 Li 2.57-2.79, 1 Sb 2.68
S (0.7371, 0.7740, 0.0038)  3 Li 2.57-2.78, 2 Sb 2.66-2.70
S (0.7260, 0.7629, 0.4962)  3 Li 2.57-2.78, 2 Sb 2.66-2.70
S (0.2740, 0.2371, 0.5038)  3 Li 2.57-2.78, 2 Sb 2.66-2.70
S (0.2629, 0.2260, 0.9962)  3 Li 2.57-2.78, 2 Sb 2.66-2.70

---

PuV4: optimized geometry, PBE.

Results
raw total energy = -45.7 eV per cell
SG = Pm-3m (221)

Unit cell a=4.4369 b=4.4369 c=4.4369 alpha=90.00 beta=90.00 gamma=90.00
Last column: nearest neighbours and their distance in Å.
Atoms (fractional coordinates):
V (0.0000, 0.0000, 0.0000)  12 V 3.14
V (0.5000, 0.0000, 0.5000)  2 Pu 2.22
V (0.0000, 0.5000, 0.5000)  2 Pu 2.22
V (0.5000, 0.5000, 0.0000)  2 Pu 2.22
Pu (0.5000, 0.5000, 0.5000)  6 V 2.22

---

MoAsSe: optimized geometry, PBE.

Results
raw total energy = -18.6 eV per cell
formation energy from raw total energies = 0.12 eV per atom
SG = F-43m (216)
offset from the most stable computed form = 0.3651 eV/atom

Unit cell a=4.4163 b=4.4163 c=4.4163 alpha=60.00 beta=60.00 gamma=60.00
Last column: nearest neighbours and their distance in Å.
Atoms (fractional coordinates):
Mo (0.7500, 0.7500, 0.7500)  4 Se 2.70, 4 As 2.70
As (0.5000, 0.5000, 0.5000)  4 Mo 2.70
Se (0.0000, 0.0000, 0.0000)  4 Mo 2.70

---

AlV5Fe6: optimized geometry, PBE.

Results
raw total energy = -102.7 eV per cell
SG = Immm (71)

Unit cell a=4.0655 b=7.0305 c=7.0305 alpha=120.21 beta=106.79 gamma=106.79
Last column: nearest neighbours and their distance in Å.
Atoms (fractional coordinates):
Fe (0.2528, 0.0838, 0.4216)  7 V 2.47-2.50, 1 Al 2.51
Fe (0.7472, 0.5784, 0.9162)  7 V 2.47-2.50, 1 Al 2.51
Fe (0.7559, 0.2561, 0.2561)  6 V 2.46-2.48, 2 Al 2.50
Fe (0.2441, 0.7439, 0.7439)  6 V 2.46-2.48, 2 Al 2.50
Fe (0.2528, 0.4216, 0.0838)  7 V 2.47-2.50, 1 Al 2.51
Fe (0.7472, 0.9162, 0.5784)  7 V 2.47-2.50, 1 Al 2.51
Al (0.0000, 0.0000, 0.0000)  8 Fe 2.50-2.51
V (0.5000, 0.1647, 0.8353)  8 Fe 2.47-2.49
V (0.0000, 0.3329, 0.6671)  8 Fe 2.47-2.48
V (0.5000, 0.5000, 0.5000)  8 Fe 2.46-2.50
V (0.0000, 0.6671, 0.3329)  8 Fe 2.47-2.48
V (0.5000, 0.8353, 0.1647)  8 Fe 2.47-2.49

---

NbPdS2N: optimized geometry, PBE.

Results
raw total energy = -30.5 eV per cell
formation energy from raw total energies = 0.26 eV per atom
SG = P4/mmm (123)
offset from the most stable computed form = 0.0000 eV/atom

Unit cell a=4.8968 b=4.8968 c=3.9077 alpha=90.00 beta=90.00 gamma=90.00
Last column: nearest neighbours and their distance in Å.
Atoms (fractional coordinates):
Nb (0.0000, 0.0000, 0.0000)  2 N 1.95
S (0.0000, 0.5000, 0.0000)  2 Nb 2.45
S (0.5000, 0.0000, 0.0000)  2 Nb 2.45
Pd (0.5000, 0.5000, 0.5000)  8 S 3.13, 4 N 3.46
N (0.0000, 0.0000, 0.5000)  2 Nb 1.95

---

BaAc3B4O12: optimized geometry, PBE.

Results
raw total energy = -158.0 eV per cell
formation energy from raw total energies = -2.88 eV per atom
SG = R32 (155)

Unit cell a=7.0270 b=7.0270 c=7.0270 alpha=100.44 beta=100.44 gamma=100.44
Last column: nearest neighbours and their distance in Å.
Atoms (fractional coordinates):
Ba (0.0000, 0.0000, 0.0000)  6 O 2.76
Ac (0.5264, 0.4736, 0.0000)  6 O 2.48-2.55
Ac (0.4736, 0.0000, 0.5264)  6 O 2.48-2.55
Ac (0.0000, 0.5264, 0.4736)  6 O 2.48-2.55
B (0.9724, 0.0276, 0.5000)  3 O 1.38-1.39
B (0.0276, 0.5000, 0.9724)  3 O 1.38-1.39
B (0.5000, 0.9724, 0.0276)  3 O 1.38-1.39
B (0.5000, 0.5000, 0.5000)  3 O 1.39
O (0.5000, 0.3714, 0.6286)  1 B 1.39
O (0.8987, 0.5000, 0.1013)  1 B 1.39
O (0.1013, 0.8987, 0.5000)  1 B 1.39
O (0.5000, 0.1013, 0.8987)  1 B 1.39
O (0.3838, 0.9859, 0.1659)  1 B 1.38
O (0.1659, 0.3838, 0.9859)  1 B 1.38
O (0.9859, 0.1659, 0.3838)  1 B 1.38
O (0.6162, 0.8341, 0.0141)  1 B 1.38
O (0.0141, 0.6162, 0.8341)  1 B 1.38
O (0.8341, 0.0141, 0.6162)  1 B 1.38
O (0.6286, 0.5000, 0.3714)  1 B 1.39
O (0.3714, 0.6286, 0.5000)  1 B 1.39

---

InTcAgH2: optimized geometry, PBE.

Results
raw total energy = -19.3 eV per cell
SG = P4/mmm (123)
offset from the most stable computed form = 0.0000 eV/atom

Unit cell a=3.7648 b=5.5397 c=3.7648 alpha=90.00 beta=90.00 gamma=90.00
Last column: nearest neighbours and their distance in Å.
Atoms (fractional coordinates):
H (0.0000, 0.0000, 0.5000)  2 Tc 1.88
H (0.5000, 0.0000, 0.0000)  2 Tc 1.88
Tc (0.0000, 0.0000, 0.0000)  4 H 1.88
Ag (0.5000, 0.5000, 0.5000)  4 In 2.66
In (0.0000, 0.5000, 0.0000)  4 Ag 2.66, 2 Tc 2.77

---

Pm6Co2Cu: optimized geometry, PBE.

Results
raw total energy = -95.3 eV per cell
SG = Immm (71)

Unit cell a=8.4459 b=8.4459 c=8.4459 alpha=107.66 beta=109.20 gamma=111.58
Last column: nearest neighbours and their distance in Å.
Atoms (fractional coordinates):
Pm (0.5447, 0.7223, 0.8224)  3 Co 2.96-3.05, 1 Cu 3.16
Pm (0.4553, 0.2777, 0.1776)  3 Co 2.96-3.05, 1 Cu 3.16
Pm (0.1002, 0.2777, 0.8224)  3 Co 2.96-3.05, 1 Cu 3.16
Pm (0.8998, 0.7223, 0.1776)  3 Co 2.96-3.05, 1 Cu 3.16
Pm (0.8094, 0.7644, 0.5738)  1 Co 2.74, 1 Cu 3.00
Pm (0.1906, 0.2356, 0.4262)  1 Co 2.74, 1 Cu 3.00
Pm (0.1906, 0.7644, 0.9550)  1 Co 2.74, 1 Cu 3.00
Pm (0.8094, 0.2356, 0.0450)  1 Co 2.74, 1 Cu 3.00
Pm (0.6857, 0.3602, 0.6746)  3 Co 2.75-2.96
Pm (0.3143, 0.6398, 0.3254)  3 Co 2.75-2.96
Pm (0.3143, 0.9889, 0.6746)  3 Co 2.75-2.96
Pm (0.6857, 0.0111, 0.3254)  3 Co 2.75-2.96
Co (0.5000, 0.3864, 0.8864)  1 Co 2.27
Co (0.5000, 0.6136, 0.1136)  1 Co 2.27
Co (0.6654, 0.0000, 0.6654)  8 Pm 2.74-3.05
Co (0.3346, 0.0000, 0.3346)  8 Pm 2.74-3.05
Cu (0.0000, 0.5000, 0.5000)  8 Pm 3.23-3.46
Cu (0.0000, 0.0000, 0.0000)  8 Pm 3.00-3.16, 2 Co 3.27

---

Tm6MgSc5: optimized geometry, PBE.

Results
raw total energy = -59.4 eV per cell
SG = C2/m (12)

Unit cell a=11.0657 b=5.8786 c=5.8763 alpha=59.99 beta=84.90 gamma=79.76
Last column: nearest neighbours and their distance in Å.
Atoms (fractional coordinates):
Tm (0.7495, 0.0835, 0.3365)  5 Sc 3.34-3.36, 1 Mg 3.37, 6 Tm 3.38-3.43
Tm (0.2505, 0.5799, 0.3365)  5 Sc 3.34-3.36, 1 Mg 3.37, 6 Tm 3.38-3.43
Tm (0.2509, 0.2530, 0.0000)  5 Sc 3.34-3.36, 1 Mg 3.38, 6 Tm 3.38-3.43
Tm (0.7491, 0.7470, 0.0000)  5 Sc 3.34-3.36, 1 Mg 3.38, 6 Tm 3.38-3.43
Tm (0.7495, 0.4201, 0.6635)  5 Sc 3.34-3.36, 1 Mg 3.37, 6 Tm 3.38-3.43
Tm (0.2505, 0.9165, 0.6635)  5 Sc 3.34-3.36, 1 Mg 3.37, 6 Tm 3.38-3.43
Mg (0.0000, 0.0000, 0.0000)  6 Tm 3.37-3.38, 6 Sc 3.39
Sc (0.5000, 0.1658, 0.6683)  6 Tm 3.34-3.36, 6 Sc 3.38-3.40
Sc (0.0000, 0.3334, 0.3331)  6 Tm 3.35-3.36, 3 Sc 3.39, 3 Mg 3.39
Sc (0.5000, 0.5000, 0.0000)  6 Tm 3.34-3.35, 6 Sc 3.39-3.40
Sc (0.0000, 0.6666, 0.6669)  6 Tm 3.35-3.36, 3 Sc 3.39, 3 Mg 3.39
Sc (0.5000, 0.8342, 0.3317)  6 Tm 3.34-3.36, 6 Sc 3.38-3.40

---

SrTcBrO4: optimized geometry, PBE.

Results
raw total energy = -93.1 eV per cell
formation energy from raw total energies = -1.85 eV per atom
SG = C2/m (12)

Unit cell a=6.7251 b=6.7251 c=7.5125 alpha=77.15 beta=77.15 gamma=71.68
Last column: nearest neighbours and their distance in Å.
Atoms (fractional coordinates):
Sr (0.2182, 0.2182, 0.8616)  4 O 2.58-2.63
Sr (0.7818, 0.7818, 0.1384)  4 O 2.58-2.63
Tc (0.6332, 0.6332, 0.7389)  4 O 1.73-1.75
Tc (0.3668, 0.3668, 0.2611)  4 O 1.73-1.75
Br (0.0296, 0.0296, 0.2424)  2 Sr 3.01-3.03, 2 O 3.36
Br (0.9704, 0.9704, 0.7576)  2 Sr 3.01-3.03, 2 O 3.36
O (0.3008, 0.3008, 0.4989)  1 Tc 1.73
O (0.6992, 0.6992, 0.5011)  1 Tc 1.73
O (0.1410, 0.4983, 0.1581)  1 Tc 1.75
O (0.5319, 0.5319, 0.2149)  1 Tc 1.74
O (0.5017, 0.8590, 0.8419)  1 Tc 1.75
O (0.4983, 0.1410, 0.1581)  1 Tc 1.75
O (0.4681, 0.4681, 0.7851)  1 Tc 1.74
O (0.8590, 0.5017, 0.8419)  1 Tc 1.75

---

Q: What is the raw total energy in the seventh record?
A: -30.5 eV per cell

---

Q: raw total energy of number 9 (InTcAgH2)?
A: -19.3 eV per cell